The following is a DFT calculation (PBE) of SmAlRu2 after structural relaxation.

POSCAR file:
```
SmAlRu2
1.0
3.259 0.000 0.000
0.000 3.259 0.000
0.000 0.000 6.493
Sm Al Ru
1 1 2
Direct
0.000 0.000 0.000
0.000 0.000 0.500
0.500 0.500 0.289
0.500 0.500 0.711
```

Computed properties:
**DOS at the Fermi energy**: 4.98 states/eV/cell
**Uncorrected energy**: -28.09 eV per cell
**Calculated density**: 9.1 Mg/m³
**Calculated volume**: 17.24 Å³/atom

=====

The following is a DFT calculation (PBE) of LaMnCu2 after structural relaxation.

POSCAR file:
```
LaMnCu2
1.0
-2.274 2.579 3.373
2.274 -2.579 3.373
2.274 2.579 -3.373
La Mn Cu
1 1 2
Direct
0.000 0.000 0.000
0.500 0.500 0.000
0.296 0.796 0.500
0.704 0.204 0.500
```

Computed properties:
**DOS at the Fermi energy**: 2.76 states/eV/cell
**Uncorrected energy**: -21.82 eV per cell
**Calculated density**: 6.7 Mg/m³
**Calculated volume**: 19.78 Å³/atom